Entry 1:
The following is a DFT calculation (PBE) of a relaxed structure of Na2CoRu2.

Values from the calculation:
Theoretical density = 5.4 g cm⁻³
Formation energy from the elements = 731 meV per atom
E = -49.28 eV/cell
Symmetry = No. 127

abc: 6.0646 6.0646 5.1660
angles: 90.00 90.00 90.00
With the nearest neighbours (Å) after each atom.
Fractional positions:
Ru: 0.3632 0.8632 0.0000  1 Ru 2.35, 2 Co 2.35
Ru: 0.8632 0.6368 0.0000  1 Ru 2.35, 2 Co 2.35
Ru: 0.6368 0.1368 0.0000  1 Ru 2.35, 2 Co 2.35
Ru: 0.1368 0.3632 0.0000  1 Ru 2.35, 2 Co 2.35
Co: 0.0000 0.0000 0.0000  4 Ru 2.35
Co: 0.5000 0.5000 0.0000  4 Ru 2.35
Na: 0.1787 0.6787 0.5000  6 Ru 3.03-3.22, 5 Na 3.06-3.15
Na: 0.6787 0.8213 0.5000  6 Ru 3.03-3.22, 5 Na 3.06-3.15
Na: 0.8213 0.3213 0.5000  6 Ru 3.03-3.22, 5 Na 3.06-3.15
Na: 0.3213 0.1787 0.5000  6 Ru 3.03-3.22, 5 Na 3.06-3.15

***

Entry 2:
The following is a DFT calculation (PBE) of a relaxed structure of LiCaCl.

Values from the calculation:
ΔE_f (raw) = -1.083 eV/atom
Theoretical density = 1.8 g cm⁻³
E = -18.02 eV/cell
Symmetry = No. 129

abc: 3.7066 3.7066 11.3599
angles: 90.00 90.00 90.00
With the nearest neighbours (Å) after each atom.
Fractional positions:
Li: 0.0000 0.5000 0.5433  4 Li 2.80
Li: 0.5000 0.0000 0.4567  4 Li 2.80
Ca: 0.0000 0.5000 0.2415  4 Cl 2.91
Ca: 0.5000 0.0000 0.7585  4 Cl 2.91
Cl: 0.0000 0.5000 0.8693  4 Ca 2.91
Cl: 0.5000 0.0000 0.1307  4 Ca 2.91

***

Entry 3:
The following is a DFT calculation (PBE) of a relaxed structure of LiBe2F6.

Values from the calculation:
ΔE_f (raw) = -2.750 eV/atom
Theoretical density = 2.2 g cm⁻³
E = -90.68 eV/cell
Symmetry = No. 15

abc: 5.1546 6.5100 6.5100
angles: 83.40 76.32 76.32
With the nearest neighbours (Å) after each atom.
Fractional positions:
Li: 0.2500 0.9059 0.0941  6 F 2.00-2.09
Li: 0.7500 0.0941 0.9059  6 F 2.00-2.09
Be: 0.2475 0.3775 0.2124  4 F 1.55-1.58
Be: 0.7475 0.2124 0.3775  4 F 1.55-1.58
Be: 0.2525 0.7876 0.6225  4 F 1.55-1.58
Be: 0.7525 0.6225 0.7876  4 F 1.55-1.58
F: 0.3533 0.2026 0.0507  1 Be 1.55
F: 0.8533 0.0507 0.2026  1 Be 1.55
F: 0.1467 0.9493 0.7974  1 Be 1.55
F: 0.6467 0.7974 0.9493  1 Be 1.55
F: 0.2133 0.6049 0.1069  1 Be 1.55
F: 0.7133 0.1069 0.6049  1 Be 1.55
F: 0.2867 0.8931 0.3951  1 Be 1.55
F: 0.7867 0.3951 0.8931  1 Be 1.55
F: 0.4606 0.3527 0.3566  2 Be 1.57-1.58
F: 0.9606 0.3566 0.3527  2 Be 1.57-1.58
F: 0.0394 0.6434 0.6473  2 Be 1.57-1.58
F: 0.5394 0.6473 0.6434  2 Be 1.57-1.58

***

Entry 4:
The following is a DFT calculation (PBE) of a relaxed structure of Ce2Al3Tc2.

Values from the calculation:
Theoretical density = 6.7 g cm⁻³
Formation energy from the elements = -419 meV per atom
E = -46.76 eV/cell
Symmetry = No. 12

abc: 4.3078 5.2159 7.3021
angles: 109.75 90.00 114.39
With the nearest neighbours (Å) after each atom.
Fractional positions:
Ce: 0.8629 0.7257 0.2334  1 Tc 2.43
Ce: 0.1371 0.2743 0.7666  1 Tc 2.43
Al: 0.5000 0.0000 0.0000  4 Tc 2.63
Al: 0.6385 0.2770 0.4440  3 Tc 2.70-2.75, 3 Al 2.92-3.01
Al: 0.3615 0.7230 0.5560  3 Tc 2.70-2.75, 3 Al 2.92-3.01
Tc: 0.8884 0.7768 0.7894  1 Ce 2.43, 4 Al 2.63-2.70
Tc: 0.1116 0.2232 0.2106  1 Ce 2.43, 4 Al 2.63-2.70